## a
VASP calculation (SCAN) on a crystal of KCa2Cl relaxed with PBEsol.

Geometry as POSCAR:
```
KCa2Cl
1.0
-0.5207 -4.0622 4.5856
4.1403 -0.0530 4.5449
-1.5874 1.9025 5.6268
Cl Ca K
1 2 1
direct
0.5000 0.5000 0.5000
0.7500 0.7500 0.7500
0.0000 0.0000 0.0000
0.2500 0.2500 0.2500
```

Space-group type   F-43m



## b
VASP calculation (SCAN) on a crystal of KCa2Cl relaxed with PBEsol.

Geometry as POSCAR:
```
KCa2Cl
1.0
-2.3381 -1.4091 2.6828
3.8853 -0.0983 0.6043
-0.5141 10.3524 4.9894
Cl Ca K
1 2 1
direct
0.5000 0.0000 0.5000
0.0000 0.0000 0.3108
0.0000 0.0000 0.6892
0.5000 0.0000 0.0000
```

Space-group type   Cmmm



## c
VASP calculation (SCAN) on a crystal of KCa2Cl relaxed with PBEsol.

Geometry as POSCAR:
```
KCa2Cl
1.0
-0.8647 -1.1898 3.4458
-2.2050 -2.8636 -1.5420
9.1374 -4.7024 0.6692
Ca K Cl
2 1 1
direct
0.5000 0.5845 0.2930
0.0000 0.9487 0.0221
0.5000 0.2752 0.6767
0.0000 0.6916 0.5082
```

Space-group type   Amm2



Sorted by energy, starting with the most stable: c, b, a.



## a
VASP calculation (SCAN) on a crystal of Li2CaCl relaxed with PBEsol.

Geometry as POSCAR:
```
Li2CaCl
1.0
-2.5295 -2.1326 -0.8436
3.4074 -2.6981 3.5137
-3.9270 3.6707 2.4950
Li Ca Cl
2 1 1
direct
0.7310 0.4620 0.2569
0.9302 0.8603 0.0068
0.5558 0.1115 0.6113
0.2831 0.5661 0.6250
```

Space-group type   Cm



## b
VASP calculation (SCAN) on a crystal of Li2CaCl relaxed with PBEsol.

Geometry as POSCAR:
```
Li2CaCl
1.0
3.5757 0.0061 0.0000
-1.6530 3.1707 0.0000
0.0000 0.0000 8.9338
Cl Ca Li
1 1 2
direct
0.5000 0.5000 0.2264
0.0000 0.0000 0.4646
0.5000 0.5000 0.7670
0.0000 0.0000 0.0419
```

Space-group type   Cmm2



Sorted by energy, starting with the most stable: b, a.



## a
VASP calculation (SCAN) on a crystal of CaMgCl2 relaxed with PBEsol.

Geometry as POSCAR:
```
CaMgCl2
1.0
3.7527 0.0000 0.0000
1.8763 3.2499 0.0000
1.8763 1.0833 9.4724
Cl Ca Mg
2 1 1
direct
0.1196 0.1196 0.6412
0.8804 0.8804 0.3588
0.0000 0.0000 0.0000
0.5000 0.5000 0.5000
```

Space-group type   R-3m



## b
VASP calculation (SCAN) on a crystal of CaMgCl2 relaxed with PBEsol.

Geometry as POSCAR:
```
CaMgCl2
1.0
-3.3581 -1.4345 -0.2618
0.3254 0.0098 -4.2268
2.4184 -5.6929 0.1730
Mg Ca Cl
1 1 2
direct
0.5000 0.5000 0.0000
0.0000 0.5000 0.5000
0.5000 0.0000 0.5000
0.0000 0.0000 0.0000
```

Space-group type   Pmmm



Sorted by energy, starting with the most stable: a, b.



## a
VASP calculation (SCAN) on a crystal of CaMgCl2 relaxed with PBEsol.

Geometry as POSCAR:
```
CaMgCl2
1.0
3.8884 0.0000 0.0000
1.9442 3.3674 0.0000
1.9442 1.1225 9.7550
Ca Cl Mg
1 2 1
direct
0.0000 0.0000 0.0000
0.7174 0.7174 0.8477
0.2826 0.2826 0.1523
0.5000 0.5000 0.5000
```

Space-group type   R-3m



## b
VASP calculation (SCAN) on a crystal of CaMgCl2 relaxed with PBEsol.

Geometry as POSCAR:
```
CaMgCl2
1.0
-0.9916 0.5461 -3.6544
-6.0530 0.4036 -0.2998
-2.5820 5.4765 -0.4836
Mg Cl Ca
1 2 1
direct
0.5000 0.0000 0.0000
0.3124 0.6876 0.6876
0.6876 0.3124 0.3124
0.0000 0.5000 0.5000
```

Space-group type   Immm



Sorted by energy, starting with the most stable: a, b.



## a
VASP calculation (SCAN) on a crystal of CaPbCl2 relaxed with PBEsol.

Geometry as POSCAR:
```
CaPbCl2
1.0
-2.2181 -1.6635 -2.5961
2.9362 -2.1156 -1.1531
-1.7767 -5.0607 4.7607
Ca Pb Cl
1 1 2
direct
0.5000 0.5000 0.8541
0.0000 0.0000 0.5029
0.0000 0.0000 0.9228
0.5000 0.5000 0.2202
```

Space-group type   P4mm



## b
VASP calculation (SCAN) on a crystal of CaPbCl2 relaxed with PBEsol.

Geometry as POSCAR:
```
CaPbCl2
1.0
-1.3095 -0.7121 -3.9835
3.7421 -2.8607 -0.7187
-2.5590 -3.7261 1.5072
Ca Pb Cl
1 1 2
direct
0.5000 0.0000 0.0000
0.5000 0.5000 0.5000
0.0000 0.0000 0.5000
0.0000 0.5000 0.0000
```

Space-group type   P4/mmm



## c
VASP calculation (SCAN) on a crystal of CaPbCl2 relaxed with PBEsol.

Geometry as POSCAR:
```
CaPbCl2
1.0
-0.8714 -0.8632 -5.0998
-4.3734 -2.4559 -1.5345
-3.7614 2.6622 -2.5053
Cl Pb Ca
2 1 1
direct
0.0000 0.0000 0.0000
0.7500 0.7500 0.7500
0.2500 0.2500 0.2500
0.5000 0.5000 0.5000
```

Space-group type   F-43m



Sorted by energy, starting with the most stable: a, b, c.



## a
VASP calculation (SCAN) on a crystal of Ca2PbCl relaxed with PBEsol.

Geometry as POSCAR:
```
Ca2PbCl
1.0
-2.6397 2.5042 0.2703
-0.6524 -0.2419 -4.1307
-5.2760 -5.6896 1.1876
Ca Cl Pb
2 1 1
direct
0.0000 0.0015 0.2251
0.0000 0.9985 0.7749
0.5000 0.0000 0.5000
0.5000 0.5000 0.0000
```

Space-group type   P2/m



## b
VASP calculation (SCAN) on a crystal of Ca2PbCl relaxed with PBEsol.

Geometry as POSCAR:
```
Ca2PbCl
1.0
-0.2230 -1.5773 -3.3250
-0.3305 -3.3036 1.6033
-7.9723 0.8592 0.1271
Cl Ca Pb
1 2 1
direct
0.5000 0.5000 0.5000
0.0000 0.0000 0.7592
0.0000 0.0000 0.2408
0.5000 0.5000 0.0000
```

Space-group type   Cmmm



## c
VASP calculation (SCAN) on a crystal of Ca2PbCl relaxed with PBEsol.

Geometry as POSCAR:
```
Ca2PbCl
1.0
-2.9572 -2.1249 -0.4520
2.9329 -4.4162 1.5730
-1.4549 0.9065 5.2575
Ca Cl Pb
2 1 1
direct
0.0021 0.0000 0.5000
0.9979 0.5000 0.0000
0.0000 0.5000 0.5000
0.5000 0.0000 0.0000
```

Space-group type   P-4m2



Sorted by energy, starting with the most stable: c, a, b.



## a
VASP calculation (SCAN) on a crystal of CaPb2Cl relaxed with PBEsol.

Geometry as POSCAR:
```
CaPb2Cl
1.0
-1.8003 -1.4978 -3.9681
-3.5403 -1.8433 2.3019
-2.9387 4.9676 -0.5418
Pb Ca Cl
2 1 1
direct
0.0000 0.0000 0.2414
0.0000 0.0000 0.7586
0.5000 0.5000 0.0000
0.5000 0.5000 0.5000
```

Space-group type   P4/mmm



## b
VASP calculation (SCAN) on a crystal of CaPb2Cl relaxed with PBEsol.

Geometry as POSCAR:
```
CaPb2Cl
1.0
3.4723 0.0000 0.0000
0.0000 5.9189 0.0000
-1.7362 -2.9595 5.3781
Cl Pb Ca
1 2 1
direct
0.2180 0.7180 0.4360
0.9946 0.9946 0.9892
0.7576 0.2576 0.5152
0.5298 0.5298 0.0596
```

Space-group type   Imm2



Sorted by energy, starting with the most stable: b, a.



## a
VASP calculation (SCAN) on a crystal of CaPdCl2 relaxed with PBEsol.

Geometry as POSCAR:
```
CaPdCl2
1.0
4.8117 0.0000 0.0000
0.0000 4.8117 0.0000
-2.4059 -2.4059 7.7644
Pd Cl Ca
2 4 2
direct
0.2500 0.7500 0.5000
0.0000 0.0000 0.0000
0.3486 0.8750 0.2500
0.6250 0.6514 0.7500
0.9014 0.3750 0.2500
0.1250 0.0986 0.7500
0.7500 0.2500 0.5000
0.5000 0.5000 0.0000
```

Space-group type   I-42d



## b
VASP calculation (SCAN) on a crystal of CaPdCl2 relaxed with PBEsol.

Geometry as POSCAR:
```
CaPdCl2
1.0
-2.2920 4.0338 -0.7797
-1.4333 1.0889 -4.3466
-4.5854 -0.0650 -1.0503
Cl Pd Ca
2 1 1
direct
0.2500 0.2500 0.2500
0.7500 0.7500 0.7500
0.5000 0.5000 0.5000
0.0000 0.0000 0.0000
```

Space-group type   Fm-3m



Sorted by energy, starting with the most stable: b, a.



## a
VASP calculation (SCAN) on a crystal of CaPdS2Cl relaxed with PBEsol.

Geometry as POSCAR:
```
CaPdS2Cl
1.0
-1.8693 -4.2950 -0.3339
0.5587 0.1193 -4.6611
4.2954 -1.9058 0.4660
Cl Pd S Ca
1 1 2 1
direct
0.0000 0.0000 0.5000
0.0000 0.0000 0.0000
0.5000 0.0000 0.0000
0.0000 0.5000 0.0000
0.5000 0.5000 0.5000
```

Space-group type   P4/mmm



## b
VASP calculation (SCAN) on a crystal of CaPdS2Cl relaxed with PBEsol.

Geometry as POSCAR:
```
CaPdS2Cl
1.0
-3.7219 3.1137 -1.2490
0.7482 -1.1161 -5.0120
-3.3927 -3.9093 0.3641
Ca Pd Cl S
1 1 1 2
direct
0.0000 0.0000 0.0000
0.5000 0.5000 0.5000
0.5000 0.0000 0.0000
0.0000 0.0000 0.5000
0.0000 0.5000 0.0000
```

Space-group type   P4/mmm



Sorted by energy, starting with the most stable: a, b.



## a
VASP calculation (SCAN) on a crystal of Ca2PtCl relaxed with PBEsol.

Geometry as POSCAR:
```
Ca2PtCl
1.0
3.4790 0.0000 0.0000
0.0000 3.5986 0.0302
0.0000 -0.1017 7.7079
Ca Cl Pt
2 1 1
direct
0.0000 0.9975 0.2883
0.0000 0.0025 0.7117
0.5000 0.0000 0.0000
0.5000 0.5000 0.5000
```

Space-group type   P2/m



## b
VASP calculation (SCAN) on a crystal of Ca2PtCl relaxed with PBEsol.

Geometry as POSCAR:
```
Ca2PtCl
1.0
3.5965 0.0000 0.0000
0.0000 3.7011 0.0000
-1.7982 -1.8506 7.4110
Ca Pt Cl
2 1 1
direct
0.9391 0.9391 0.8781
0.2151 0.7151 0.4302
0.8002 0.3002 0.6003
0.5457 0.5457 0.0913
```

Space-group type   Imm2



Sorted by energy, starting with the most stable: a, b.



## a
VASP calculation (SCAN) on a crystal of CaPtCl2 relaxed with PBEsol.

Geometry as POSCAR:
```
CaPtCl2
1.0
-2.8500 -1.4292 -0.8538
0.2322 -2.0174 2.6019
-3.4588 4.5880 3.8659
Cl Pt Ca
2 1 1
direct
0.0000 0.0000 0.2752
0.0000 0.0000 0.7248
0.5000 0.5000 0.0000
0.5000 0.5000 0.5000
```

Space-group type   P4/mmm



## b
VASP calculation (SCAN) on a crystal of CaPtCl2 relaxed with PBEsol.

Geometry as POSCAR:
```
CaPtCl2
1.0
-4.3685 -1.5379 -0.9070
-1.0663 -1.6906 -4.2751
-0.8045 -4.6139 -0.5796
Cl Pt Ca
2 1 1
direct
0.7500 0.7500 0.7500
0.2500 0.2500 0.2500
0.5000 0.5000 0.5000
0.0000 0.0000 0.0000
```

Space-group type   Fm-3m



Sorted by energy, starting with the most stable: b, a.



## a
VASP calculation (SCAN) on a crystal of CaReCl2 relaxed with PBEsol.

Geometry as POSCAR:
```
CaReCl2
1.0
-1.9307 0.6266 -3.0926
1.1997 -3.2075 -1.3989
-4.2063 -1.4246 4.5499
Ca Cl Re
1 2 1
direct
0.2500 0.7500 0.5000
0.0000 0.0000 0.0000
0.7500 0.2500 0.5000
0.5000 0.5000 0.0000
```

Space-group type   I-4m2



## b
VASP calculation (SCAN) on a crystal of CaReCl2 relaxed with PBEsol.

Geometry as POSCAR:
```
CaReCl2
1.0
-1.1606 3.2350 0.8344
-3.4827 -1.9330 2.6505
5.5030 -0.5979 2.4765
Re Cl Ca
1 2 1
direct
0.5000 0.0000 0.0000
0.8470 0.8470 0.6940
0.1530 0.1530 0.3060
0.0000 0.5000 0.0000
```

Space-group type   Immm



Sorted by energy, starting with the most stable: b, a.



## a
VASP calculation (SCAN) on a crystal of CaRh2Cl relaxed with PBEsol.

Geometry as POSCAR:
```
CaRh2Cl
1.0
3.5868 0.0000 0.0000
-1.7934 3.6790 0.0487
0.0000 -2.2178 6.2965
Rh Cl Ca
2 1 1
direct
0.9258 0.8515 0.8132
0.2634 0.5268 0.9205
0.7745 0.5491 0.2529
0.5363 0.0725 0.5133
```

Space-group type   Cm



## b
VASP calculation (SCAN) on a crystal of CaRh2Cl relaxed with PBEsol.

Geometry as POSCAR:
```
CaRh2Cl
1.0
-2.9405 0.7857 1.3515
-1.5631 -1.5216 -2.5163
0.0505 -6.0317 3.6161
Ca Rh Cl
1 2 1
direct
0.0000 0.0000 0.5001
0.5000 0.5000 0.2050
0.0000 0.0000 0.0875
0.5000 0.5000 0.7075
```

Space-group type   P4mm



Sorted by energy, starting with the most stable: b, a.